Entry from Alexandria via LeMat-Bulk: an optimized crystal structure of Li2VO2F3 (PBE with a Hubbard U).

Output
ρ: 2.75 g/cm³
raw total energy: -5.763 eV/atom
spin magnetization: 0.000 μB per formula unit

a b c (Å): 7.214 5.347 9.635
angles (deg): 90.00 90.00 90.00
Space group Pnma (No. 62)
Inequivalent atoms, fractional coordinates:
1 Li 0.053 0.250 0.221 [4 per cell]
2 Li 0.095 0.250 0.926 [4 per cell]
3 V 0.208 0.250 0.553 [4 per cell]
4 O 0.147 0.508 0.082 [8 per cell]
5 F 0.000 0.000 0.500 [4 per cell]
6 F 0.096 0.250 0.729 [4 per cell]
7 F 0.243 0.750 0.853 [4 per cell]